A geometry-optimized PuMg2CrN4 structure. Source: Alexandria, functional GGA-PBE. Values from VASP.

Calculated values
Volume ... 11.9 A^3/atom
ΔE_f (raw) ... -0.70 eV per atom
SG ... Cmcm (63)
Final energy ... -8.26 eV per atom
M_tot ... 0.75 μB per atom

```
&SYSTEM
  ibrav = 0, nat = 16, ntyp = 4
/
ATOMIC_SPECIES
Pu 244.00 Pu.upf
Mg 24.30 Mg.upf
Cr 52.00 Cr.upf
N 14.01 N.upf
ATOMIC_POSITIONS crystal
Pu 0.086 0.914 0.750
Pu 0.914 0.086 0.250
Mg 0.381 0.619 0.536
Mg 0.381 0.619 0.964
Mg 0.619 0.381 0.036
Mg 0.619 0.381 0.464
Cr 0.177 0.823 0.250
Cr 0.823 0.177 0.750
N 0.000 0.000 0.000
N 0.000 0.000 0.500
N 0.277 0.723 0.126
N 0.277 0.723 0.374
N 0.414 0.586 0.750
N 0.586 0.414 0.250
N 0.723 0.277 0.626
N 0.723 0.277 0.874
CELL_PARAMETERS angstrom
1.609 -5.587 0.000
1.609 5.587 0.000
0.000 0.000 10.599
```